First-principles (GGA-PBE) data for a geometry-optimized EuGdTlNi structure, as listed in the Alexandria database.

DFT formation energy = -3.6 kcal/mol of atoms

CIF file:
```
data_EuGdTlNi
_chemical_formula_sum 'Eu4 Gd4 Tl4 Ni4'
_symmetry_space_group_name_H-M 'F -4 3 m'
_symmetry_Int_Tables_number 216
_symmetry_space_group_name_Hall 'F -4 2 3'
_cell_length_a 7.414
_cell_length_b 7.414
_cell_length_c 7.414
_cell_angle_alpha 90.00
_cell_angle_beta 90.00
_cell_angle_gamma 90.00
loop_
_atom_site_label
_atom_site_type_symbol
_atom_site_fract_x
_atom_site_fract_y
_atom_site_fract_z
Eu1 Eu 0.000 0.000 0.000
Gd1 Gd 0.000 0.000 0.500
Tl1 Tl 0.250 0.250 0.750
Ni1 Ni 0.250 0.250 0.250
```

***

First-principles (GGA-PBE) data for a geometry-optimized EuGd2Np structure, as listed in the Alexandria database.

DFT formation energy = 8.9 kcal/mol of atoms

CIF file:
```
data_EuGd2Np
_chemical_formula_sum 'Eu3 Gd6 Np3'
_symmetry_space_group_name_H-M 'R -3 m'
_symmetry_Int_Tables_number 166
_symmetry_space_group_name_Hall '-R 3 2"'
_cell_length_a 3.4322
_cell_length_b 3.4322
_cell_length_c 36.8083
_cell_angle_alpha 90.00
_cell_angle_beta 90.00
_cell_angle_gamma 120.00
loop_
_atom_site_label
_atom_site_type_symbol
_atom_site_fract_x
_atom_site_fract_y
_atom_site_fract_z
Eu1 Eu 0.0000 0.0000 0.0000
Gd1 Gd 0.0000 0.0000 0.0932
Np1 Np 0.0000 0.0000 0.5000
```

***

First-principles (GGA-PBE) data for a geometry-optimized EuGdO structure, as listed in the Alexandria database.

Raw formation energy = -1.69 eV/atom

CIF file:
```
data_EuGdO
_chemical_formula_sum 'Eu1 Gd1 O1'
_symmetry_space_group_name_H-M 'P 3 m 1'
_symmetry_Int_Tables_number 156
_symmetry_space_group_name_Hall 'P 3 -2"'
_cell_length_a 3.6533
_cell_length_b 3.6533
_cell_length_c 6.1106
_cell_angle_alpha 90.00
_cell_angle_beta 90.00
_cell_angle_gamma 120.00
loop_
_atom_site_label
_atom_site_type_symbol
_atom_site_fract_x
_atom_site_fract_y
_atom_site_fract_z
Eu1 Eu 0.0000 0.0000 0.0000
Gd1 Gd 0.3333 0.6667 0.4612
O1 O 0.6667 0.3333 0.2798
```

***

First-principles (GGA-PBE) data for a geometry-optimized EuGd2Os structure, as listed in the Alexandria database.

DFT formation energy = 0.7 kcal/mol of atoms

CIF file:
```
data_EuGd2Os
_chemical_formula_sum 'Eu3 Gd6 Os3'
_symmetry_space_group_name_H-M 'R -3 m'
_symmetry_Int_Tables_number 166
_symmetry_space_group_name_Hall '-R 3 2"'
_cell_length_a 4.0928
_cell_length_b 4.0928
_cell_length_c 27.9492
_cell_angle_alpha 90.00
_cell_angle_beta 90.00
_cell_angle_gamma 120.00
loop_
_atom_site_label
_atom_site_type_symbol
_atom_site_fract_x
_atom_site_fract_y
_atom_site_fract_z
Eu1 Eu 0.0000 0.0000 0.0000
Gd1 Gd 0.0000 0.0000 0.2182
Os1 Os 0.0000 0.0000 0.5000
```

***

First-principles (GGA-PBE) data for a geometry-optimized EuGdZnOs structure, as listed in the Alexandria database.

DFT formation energy = -0.9 kcal/mol of atoms

CIF file:
```
data_EuGdZnOs
_chemical_formula_sum 'Eu4 Gd4 Zn4 Os4'
_symmetry_space_group_name_H-M 'F -4 3 m'
_symmetry_Int_Tables_number 216
_symmetry_space_group_name_Hall 'F -4 2 3'
_cell_length_a 7.057
_cell_length_b 7.057
_cell_length_c 7.057
_cell_angle_alpha 90.00
_cell_angle_beta 90.00
_cell_angle_gamma 90.00
loop_
_atom_site_label
_atom_site_type_symbol
_atom_site_fract_x
_atom_site_fract_y
_atom_site_fract_z
Eu1 Eu 0.000 0.000 0.000
Gd1 Gd 0.000 0.000 0.500
Zn1 Zn 0.250 0.250 0.750
Os1 Os 0.250 0.250 0.250
```

***

First-principles (GGA-PBE) data for a geometry-optimized EuGd3P structure, as listed in the Alexandria database.

DFT formation energy = -10.1 kcal/mol of atoms

CIF file:
```
data_EuGd3P
_chemical_formula_sum 'Eu1 Gd3 P1'
_symmetry_space_group_name_H-M 'P m -3 m'
_symmetry_Int_Tables_number 221
_symmetry_space_group_name_Hall '-P 4 2 3'
_cell_length_a 5.547
_cell_length_b 5.547
_cell_length_c 5.547
_cell_angle_alpha 90.00
_cell_angle_beta 90.00
_cell_angle_gamma 90.00
loop_
_atom_site_label
_atom_site_type_symbol
_atom_site_fract_x
_atom_site_fract_y
_atom_site_fract_z
Eu1 Eu 0.000 0.000 0.000
Gd1 Gd 0.000 0.500 0.500
P1 P 0.500 0.500 0.500
```

***

First-principles (GGA-PBE) data for a geometry-optimized EuGdP2 structure, as listed in the Alexandria database.

DFT formation energy = -22.8 kcal/mol of atoms

CIF file:
```
data_EuGdP2
_chemical_formula_sum 'Eu3 Gd3 P6'
_symmetry_space_group_name_H-M 'R -3 m'
_symmetry_Int_Tables_number 166
_symmetry_space_group_name_Hall '-R 3 2"'
_cell_length_a 5.0524
_cell_length_b 5.0524
_cell_length_c 12.0656
_cell_angle_alpha 90.00
_cell_angle_beta 90.00
_cell_angle_gamma 120.00
loop_
_atom_site_label
_atom_site_type_symbol
_atom_site_fract_x
_atom_site_fract_y
_atom_site_fract_z
Eu1 Eu 0.0000 0.0000 0.0000
Gd1 Gd 0.0000 0.0000 0.5000
P1 P 0.0000 0.0000 0.2504
```

***

First-principles (GGA-PBE) data for a geometry-optimized EuGd2Pb structure, as listed in the Alexandria database.

DFT formation energy = -4.0 kcal/mol of atoms
Energy above the lowest structure with this stoichiometry = 0.56 eV per formula unit

CIF file:
```
data_EuGd2Pb
_chemical_formula_sum 'Eu4 Gd8 Pb4'
_symmetry_space_group_name_H-M 'F m -3 m'
_symmetry_Int_Tables_number 225
_symmetry_space_group_name_Hall '-F 4 2 3'
_cell_length_a 7.881
_cell_length_b 7.881
_cell_length_c 7.881
_cell_angle_alpha 90.00
_cell_angle_beta 90.00
_cell_angle_gamma 90.00
loop_
_atom_site_label
_atom_site_type_symbol
_atom_site_fract_x
_atom_site_fract_y
_atom_site_fract_z
Eu1 Eu 0.000 0.000 0.000
Gd1 Gd 0.250 0.250 0.250
Pb1 Pb 0.000 0.000 0.500
```

***

First-principles (GGA-PBE) data for a geometry-optimized EuGd2Pb structure, as listed in the Alexandria database.

DFT formation energy = 2.5 kcal/mol of atoms
Energy above the lowest structure with this stoichiometry = 1.69 eV per formula unit

CIF file:
```
data_EuGd2Pb
_chemical_formula_sum 'Eu3 Gd6 Pb3'
_symmetry_space_group_name_H-M 'R -3 m'
_symmetry_Int_Tables_number 166
_symmetry_space_group_name_Hall '-R 3 2"'
_cell_length_a 3.6066
_cell_length_b 3.6066
_cell_length_c 37.2416
_cell_angle_alpha 90.00
_cell_angle_beta 90.00
_cell_angle_gamma 120.00
loop_
_atom_site_label
_atom_site_type_symbol
_atom_site_fract_x
_atom_site_fract_y
_atom_site_fract_z
Eu1 Eu 0.0000 0.0000 0.0000
Gd1 Gd 0.0000 0.0000 0.4145
Pb1 Pb 0.0000 0.0000 0.5000
```

***

First-principles (GGA-PBE) data for a geometry-optimized EuGd2Pb structure, as listed in the Alexandria database.

DFT formation energy = -7.3 kcal/mol of atoms
Energy above the lowest structure with this stoichiometry = 0.00 eV per formula unit

CIF file:
```
data_EuGd2Pb
_chemical_formula_sum 'Eu1 Gd2 Pb1'
_symmetry_space_group_name_H-M 'P 4/m m m'
_symmetry_Int_Tables_number 123
_symmetry_space_group_name_Hall '-P 4 2'
_cell_length_a 4.987
_cell_length_b 4.987
_cell_length_c 4.893
_cell_angle_alpha 90.00
_cell_angle_beta 90.00
_cell_angle_gamma 90.00
loop_
_atom_site_label
_atom_site_type_symbol
_atom_site_fract_x
_atom_site_fract_y
_atom_site_fract_z
Eu1 Eu 0.000 0.000 0.000
Gd1 Gd 0.000 0.500 0.500
Pb1 Pb 0.500 0.500 0.000
```

***

First-principles (GGA-PBE) data for a geometry-optimized Eu2GdPb structure, as listed in the Alexandria database.

DFT formation energy = -6.7 kcal/mol of atoms

CIF file:
```
data_Eu2GdPb
_chemical_formula_sum 'Eu2 Gd1 Pb1'
_symmetry_space_group_name_H-M 'P 4/m m m'
_symmetry_Int_Tables_number 123
_symmetry_space_group_name_Hall '-P 4 2'
_cell_length_a 4.949
_cell_length_b 4.949
_cell_length_c 5.234
_cell_angle_alpha 90.00
_cell_angle_beta 90.00
_cell_angle_gamma 90.00
loop_
_atom_site_label
_atom_site_type_symbol
_atom_site_fract_x
_atom_site_fract_y
_atom_site_fract_z
Eu1 Eu 0.000 0.500 0.000
Gd1 Gd 0.000 0.000 0.500
Pb1 Pb 0.500 0.500 0.500
```

***

First-principles (GGA-PBE) data for a geometry-optimized EuGdPb structure, as listed in the Alexandria database.

DFT formation energy = -8.1 kcal/mol of atoms
Energy above the lowest structure with this stoichiometry = 0.00 eV per formula unit

CIF file:
```
data_EuGdPb
_chemical_formula_sum 'Eu2 Gd2 Pb2'
_symmetry_space_group_name_H-M 'I 4 m m'
_symmetry_Int_Tables_number 107
_symmetry_space_group_name_Hall 'I 4 -2'
_cell_length_a 4.181
_cell_length_b 4.181
_cell_length_c 10.761
_cell_angle_alpha 90.00
_cell_angle_beta 90.00
_cell_angle_gamma 90.00
loop_
_atom_site_label
_atom_site_type_symbol
_atom_site_fract_x
_atom_site_fract_y
_atom_site_fract_z
Eu1 Eu 0.000 0.000 0.000
Gd1 Gd 0.000 0.000 0.693
Pb1 Pb 0.000 0.000 0.336
```

***

First-principles (GGA-PBE) data for a geometry-optimized EuGd2Pb structure, as listed in the Alexandria database.

DFT formation energy = -4.3 kcal/mol of atoms
Energy above the lowest structure with this stoichiometry = 0.52 eV per formula unit

CIF file:
```
data_EuGd2Pb
_chemical_formula_sum 'Eu1 Gd2 Pb1'
_symmetry_space_group_name_H-M 'P 4/m m m'
_symmetry_Int_Tables_number 123
_symmetry_space_group_name_Hall '-P 4 2'
_cell_length_a 4.232
_cell_length_b 4.232
_cell_length_c 7.074
_cell_angle_alpha 90.00
_cell_angle_beta 90.00
_cell_angle_gamma 90.00
loop_
_atom_site_label
_atom_site_type_symbol
_atom_site_fract_x
_atom_site_fract_y
_atom_site_fract_z
Eu1 Eu 0.000 0.000 0.000
Gd1 Gd 0.500 0.500 0.275
Pb1 Pb 0.000 0.000 0.500
```

***

First-principles (GGA-PBE) data for a geometry-optimized EuGdPb structure, as listed in the Alexandria database.

DFT formation energy = -6.4 kcal/mol of atoms
Energy above the lowest structure with this stoichiometry = 0.22 eV per formula unit

CIF file:
```
data_EuGdPb
_chemical_formula_sum 'Eu4 Gd4 Pb4'
_symmetry_space_group_name_H-M 'F -4 3 m'
_symmetry_Int_Tables_number 216
_symmetry_space_group_name_Hall 'F -4 2 3'
_cell_length_a 7.629
_cell_length_b 7.629
_cell_length_c 7.629
_cell_angle_alpha 90.00
_cell_angle_beta 90.00
_cell_angle_gamma 90.00
loop_
_atom_site_label
_atom_site_type_symbol
_atom_site_fract_x
_atom_site_fract_y
_atom_site_fract_z
Eu1 Eu 0.000 0.000 0.000
Gd1 Gd 0.000 0.000 0.500
Pb1 Pb 0.250 0.250 0.750
```

***

First-principles (GGA-PBE) data for a geometry-optimized EuGdPb structure, as listed in the Alexandria database.

DFT formation energy = -3.4 kcal/mol of atoms
Energy above the lowest structure with this stoichiometry = 0.61 eV per formula unit

CIF file:
```
data_EuGdPb
_chemical_formula_sum 'Eu1 Gd1 Pb1'
_symmetry_space_group_name_H-M 'P -6 m 2'
_symmetry_Int_Tables_number 187
_symmetry_space_group_name_Hall 'P -6 2'
_cell_length_a 5.4931
_cell_length_b 5.4931
_cell_length_c 3.4334
_cell_angle_alpha 90.00
_cell_angle_beta 90.00
_cell_angle_gamma 120.00
loop_
_atom_site_label
_atom_site_type_symbol
_atom_site_fract_x
_atom_site_fract_y
_atom_site_fract_z
Eu1 Eu 0.0000 0.0000 0.0000
Gd1 Gd 0.6667 0.3333 0.0000
Pb1 Pb 0.3333 0.6667 0.5000
```

***

no.,uncorrected energy (eV per atom)
1,-8.28
2,-12.46
3,-11.46
4,-12.38
5,-9.25
6,-12.02
7,-9.78
8,-10.71
9,-10.43
10,-10.85
11,-9.88
12,-9.70
13,-10.72
14,-9.63
15,-9.50